Entry 1:
DFT (PBE) results for a relaxed structure of La6YHo12.

Symmetry: No. 166
D(E_F) in states/eV/cell: 32.08
Total magnetization in Bohr magnetons per cell: 0.0
E_form in kJ/mol of formula units: 405

abc: 8.793 8.793 8.793
angles: 98.70 98.70 98.70
Fractional positions:
Ho  0.355  0.355  0.081
Y  0.000  0.000  0.000
Ho  0.645  0.645  0.919
La  0.095  0.095  0.654
La  0.654  0.095  0.095
Ho  0.246  0.500  0.754
La  0.346  0.905  0.905
La  0.905  0.346  0.905
Ho  0.919  0.645  0.645
Ho  0.500  0.246  0.754
Ho  0.246  0.754  0.500
Ho  0.645  0.919  0.645
Ho  0.754  0.246  0.500
Ho  0.500  0.754  0.246
La  0.095  0.654  0.095
La  0.905  0.905  0.346
Ho  0.355  0.081  0.355
Ho  0.081  0.355  0.355
Ho  0.754  0.500  0.246

=====

Entry 2:
DFT (PBE) results for a relaxed structure of La2Al4GeAu3.

Symmetry: No. 115
D(E_F) in states/eV/cell: 3.19
Total magnetization in Bohr magnetons per cell: 0.0
E_form in kJ/mol of formula units: -703

abc: 4.502 4.502 10.378
angles: 90.00 90.00 90.00
Fractional positions:
Au  0.000  0.000  0.500
Au  0.000  0.500  0.128
Al  0.000  0.000  0.000
Al  0.000  0.500  0.370
Ge  0.500  0.500  0.500
Al  0.500  0.000  0.630
La  0.000  0.500  0.746
Au  0.500  0.000  0.872
Al  0.500  0.500  0.000
La  0.500  0.000  0.254

=====

Entry 3:
DFT (PBE) results for a relaxed structure of HoZrBr.

Formation energy without anion corrections in meV per atom: -686
Symmetry: No. 6
D(E_F) in states/eV/cell: 3.45
Total magnetization in Bohr magnetons per cell: 0.0

abc: 5.507 3.957 16.534
angles: 126.63 138.68 44.08
Fractional positions:
Br  0.816  0.252  0.571
Zr  0.532  0.059  0.180
Ho  0.128  0.205  0.478
Zr  0.256  0.114  0.291
Ho  0.656  0.965  0.991
Br  0.750  0.358  0.788

=====

Entry 4:
DFT (PBE) results for a relaxed structure of La4Tb3PrSe8.

Formation energy without anion corrections in meV per atom: -1895
Symmetry: No. 166
D(E_F) in states/eV/cell: 10.32
Total magnetization in Bohr magnetons per cell: 0.0

abc: 8.441 8.465 8.442
angles: 119.91 120.00 90.00
Fractional positions:
Pr  0.000  0.500  0.000
La  0.000  0.000  0.000
Se  0.751  0.262  0.012
Se  0.261  0.262  0.012
Se  0.739  0.738  0.988
Tb  0.500  0.500  0.000
Se  0.256  0.267  0.512
Se  0.744  0.733  0.488
La  0.000  0.000  0.500
Se  0.249  0.738  0.499
Tb  0.000  0.500  0.500
La  0.500  0.000  0.000
Se  0.751  0.262  0.501
Se  0.249  0.738  0.988
Tb  0.500  0.500  0.500
La  0.500  0.000  0.500